Density functional theory data (PBE) for a geometry-optimized Y9Ho2Sc structure.

Properties
**Energy of formation**: 3.3 kJ/mol of atoms
**DOS(E_F)**: 1.54 states/eV/atom

Geometry as POSCAR:
```
Y9Ho2Sc
1.0
5.0100 0.0000 0.0000
0.0000 5.0100 0.0000
0.0000 0.0000 15.0038
Y Ho Sc
9 2 1
Direct
0.0000 0.0000 0.0000
0.0000 0.0000 0.3310
0.0000 0.0000 0.6690
0.0000 0.5000 0.1626
0.0000 0.5000 0.5000
0.0000 0.5000 0.8374
0.5000 0.0000 0.1626
0.5000 0.0000 0.5000
0.5000 0.0000 0.8374
0.5000 0.5000 0.3318
0.5000 0.5000 0.6682
0.5000 0.5000 0.0000
```

Density functional theory data (PBE) for a geometry-optimized Y5HoSc4 structure.

Properties
**Energy above the most stable polymorph in this dataset**: 0 meV per atom
**Energy of formation**: 5.8 kJ/mol of atoms
**DOS(E_F)**: 1.54 states/eV/atom

Geometry as POSCAR:
```
Y5HoSc4
1.0
8.8176 -2.4185 0.0000
8.8176 2.4185 0.0000
-1.3698 0.0000 6.7674
Y Ho Sc
5 1 4
Direct
0.0000 0.0000 0.0000
0.1997 0.1997 0.1051
0.3950 0.3950 0.6867
0.5971 0.5971 0.7863
0.7964 0.7964 0.8924
0.4012 0.4012 0.2033
0.0004 0.0004 0.4922
0.1955 0.1955 0.5876
0.6001 0.6001 0.3031
0.7957 0.7957 0.3973
```

Density functional theory data (PBE) for a geometry-optimized Y7Ho2Sc structure.

Properties
**Energy of formation**: 21.3 kJ/mol of atoms
**DOS(E_F)**: 1.74 states/eV/atom

Geometry as POSCAR:
```
Y7Ho2Sc
1.0
3.2022 -14.4496 0.0000
3.2022 14.4496 0.0000
0.0000 0.0000 3.4453
Y Ho Sc
7 2 1
Direct
0.0000 0.0000 0.0000
0.1634 0.3579 0.0000
0.1878 0.8122 0.5000
0.3579 0.1634 0.0000
0.6421 0.8366 0.0000
0.8122 0.1878 0.5000
0.8366 0.6421 0.0000
0.2919 0.7081 0.0000
0.7081 0.2919 0.0000
0.5000 0.5000 0.5000
```

Density functional theory data (PBE) for a geometry-optimized YHo2Sc structure.

Properties
**Energy above the most stable polymorph in this dataset**: 6 meV per atom
**Energy of formation**: 3.6 kJ/mol of atoms
**DOS(E_F)**: 1.60 states/eV/atom

Geometry as POSCAR:
```
YHo2Sc
1.0
1.7554 1.0135 11.1264
-1.7554 1.0135 11.1264
0.0000 -2.0270 11.1264
Y Ho Sc
1 2 1
Direct
0.0000 0.0000 0.0000
0.5800 0.5800 0.5800
0.7527 0.7527 0.7527
0.1660 0.1660 0.1660
```